A relaxed Cs3Te4Pb2 crystal. Source: Alexandria via LeMat-Bulk, functional GGA-PBE.

Values from the calculation:
Its uncorrected formation energy is -694 meV per atom. The symmetry is No. 12. The mass density comes out at 4.84 Mg/m³. For the magnetization, the calculation gives 0.000 μB/atom. For the relative energy among the computed polymorphs, the calculation gives 0.024 eV per atom.

Unit cell a=5.767 b=8.609 c=11.173 alpha=117.85 beta=90.00 gamma=109.57
Atoms (fractional coordinates):
1 Cs 0.000 0.000 0.000
2 Cs 0.635 0.270 0.732
3 Cs 0.365 0.730 0.268
4 Te 0.886 0.772 0.589
5 Te 0.689 0.378 0.111
6 Te 0.311 0.622 0.889
7 Te 0.114 0.228 0.411
8 Pb 0.323 0.647 0.639
9 Pb 0.677 0.353 0.361

=====

A relaxed Tb2Sm12Y5 crystal. Source: Alexandria via LeMat-Bulk, functional GGA-PBE.

Values from the calculation:
The symmetry is No. 12. The mass density comes out at 6.72 Mg/m³. For the magnetization, the calculation gives 0.000 μB/atom. For the relative energy among the computed polymorphs, the calculation gives 0.000 eV per atom. The calculation puts the energy of formation at 99 meV/atom.

Unit cell a=11.719 b=10.669 c=6.220 alpha=100.48 beta=90.00 gamma=123.31
Atoms (fractional coordinates):
1 Sm 0.647 0.793 0.383
2 Sm 0.941 0.394 0.199
3 Sm 0.445 0.891 0.725
4 Sm 0.555 0.109 0.275
5 Sm 0.880 0.759 0.000
6 Sm 0.059 0.606 0.801
7 Sm 0.854 0.207 0.617
8 Sm 0.547 0.606 0.801
9 Sm 0.146 0.793 0.383
10 Sm 0.453 0.394 0.199
11 Sm 0.353 0.207 0.617
12 Sm 0.120 0.241 0.000
13 Tb 0.230 0.000 0.000
14 Tb 0.770 0.000 0.000
15 Y 0.000 0.000 0.500
16 Y 0.676 0.352 0.861
17 Y 0.216 0.431 0.553
18 Y 0.324 0.648 0.139
19 Y 0.784 0.569 0.447

=====

A relaxed MgZn2Sn crystal. Source: Alexandria via LeMat-Bulk, functional GGA-PBE.

Values from the calculation:
The symmetry is No. 123. The mass density comes out at 5.65 Mg/m³. For the magnetization, the calculation gives 0.000 μB/atom. The calculation puts the energy of formation at 52 meV/atom.

Unit cell a=3.493 b=3.493 c=6.595 alpha=90.00 beta=90.00 gamma=90.00
Atoms (fractional coordinates):
1 Zn 0.000 0.000 0.724
2 Zn 0.000 0.000 0.276
3 Sn 0.500 0.500 0.000
4 Mg 0.500 0.500 0.500

=====

A relaxed YBe2W crystal. Source: Alexandria via LeMat-Bulk, functional GGA-PBE.

Values from the calculation:
The symmetry is No. 216. The mass density comes out at 7.51 Mg/m³. For the magnetization, the calculation gives 0.000 μB/atom. For the relative energy among the computed polymorphs, the calculation gives 0.812 eV per atom. The calculation puts the energy of formation at 954 meV/atom.

Unit cell a=4.496 b=4.496 c=4.496 alpha=60.00 beta=60.00 gamma=60.00
Atoms (fractional coordinates):
1 Be 0.000 0.000 0.000
2 Be 0.250 0.250 0.250
3 Y 0.750 0.750 0.750
4 W 0.500 0.500 0.500